No. 1
Computed, not measured: La3EuRe after structural relaxation at the GGA-PBE level of DFT.

Cell lengths 5.715, 5.715, 5.715 Å; angles 90.00, 90.00, 90.00 degrees
Element x y z (fractional)
La  0.000  0.000  0.500
La  0.000  0.500  0.000
La  0.500  0.000  0.000
Eu  0.500  0.500  0.500
Re  0.000  0.000  0.000

## Properties
V: 186.6 Å³/cell
space-group type: Pm-3m, No. 221
theoretical density: 6.7 g/cm³
formation energy from the elements: 0.16 eV/atom

***

No. 2
Computed, not measured: LaEuRh after structural relaxation at the GGA-PBE level of DFT.

Cell lengths 4.993, 4.993, 4.993 Å; angles 60.00, 60.00, 60.00 degrees
Element x y z (fractional)
La  0.000  0.000  0.000
Eu  0.500  0.500  0.500
Rh  0.750  0.750  0.750

## Properties
offset from the most stable computed form: 0.0323 eV per atom
V: 88.0 Å³/cell
space-group type: F-43m, No. 216
theoretical density: 7.4 g/cm³
formation energy from the elements: -0.44 eV/atom